(1)
VASP calculation (GGA-PBE) on NaPa2ReN6 after structural relaxation. Values from VASP.

Cell and atoms, written as Quantum ESPRESSO input:
```
&SYSTEM
  ibrav = 0, nat = 10, ntyp = 4
/
ATOMIC_SPECIES
Na 22.99 Na.upf
Pa 231.04 Pa.upf
Re 186.21 Re.upf
N 14.01 N.upf
CELL_PARAMETERS angstrom
5.2734 0.0000 0.0000
0.0000 5.2734 0.0000
0.0000 0.0000 5.2751
ATOMIC_POSITIONS crystal
Na 0.0000 0.0000 0.0000
Pa 0.0000 0.5000 0.4496
Pa 0.5000 0.0000 0.4496
Re 0.5000 0.5000 0.0689
N 0.0000 0.0000 0.5805
N 0.2646 0.2646 0.2170
N 0.2646 0.7354 0.2170
N 0.5000 0.5000 0.7179
N 0.7354 0.2646 0.2170
N 0.7354 0.7354 0.2170
```

- Total moment: 0.00 μB per atom
- Formation energy (no corrections): -0.5624 eV/atom
- E_tot: -8.83 eV/atom
- Space group: No. 99

(2)
VASP calculation (GGA-PBE) on NaPa3Re4N12 after structural relaxation. Values from VASP.

Cell and atoms, written as Quantum ESPRESSO input:
```
&SYSTEM
  ibrav = 0, nat = 20, ntyp = 4
/
ATOMIC_SPECIES
Na 22.99 Na.upf
Pa 231.04 Pa.upf
Re 186.21 Re.upf
N 14.01 N.upf
CELL_PARAMETERS angstrom
5.6940 3.2874 3.1881
-5.6940 3.2874 3.1881
0.0000 -6.5749 3.1881
ATOMIC_POSITIONS crystal
Na 0.0000 0.0000 0.0000
Pa 0.0000 0.5600 0.4400
Pa 0.4400 0.0000 0.5600
Pa 0.5600 0.4400 0.0000
Re 0.0597 0.5000 0.9403
Re 0.5000 0.5000 0.5000
Re 0.5000 0.9403 0.0597
Re 0.9403 0.0597 0.5000
N 0.0239 0.6235 0.7532
N 0.1010 0.8990 0.5000
N 0.2468 0.3765 0.9761
N 0.3408 0.6592 0.5000
N 0.3765 0.9761 0.2468
N 0.5000 0.1010 0.8990
N 0.5000 0.3408 0.6592
N 0.6235 0.7532 0.0239
N 0.6592 0.5000 0.3408
N 0.7532 0.0239 0.6235
N 0.8990 0.5000 0.1010
N 0.9761 0.2468 0.3765
```

- Total moment: 0.00 μB per atom
- Formation energy (no corrections): -0.3559 eV/atom
- E_tot: -9.33 eV/atom
- Space group: No. 155

(3)
VASP calculation (GGA-PBE) on NaPa2ReN4 after structural relaxation. Values from VASP.

Cell and atoms, written as Quantum ESPRESSO input:
```
&SYSTEM
  ibrav = 0, nat = 8, ntyp = 4
/
ATOMIC_SPECIES
Na 22.99 Na.upf
Pa 231.04 Pa.upf
Re 186.21 Re.upf
N 14.01 N.upf
CELL_PARAMETERS angstrom
-2.8990 2.8990 3.9084
2.8990 -2.8990 3.9084
2.8990 2.8990 -3.9084
ATOMIC_POSITIONS crystal
Na 0.0000 0.0000 0.0000
Pa 0.2500 0.7500 0.5000
Pa 0.7500 0.2500 0.5000
Re 0.5000 0.5000 0.0000
N 0.1487 0.1487 0.6683
N 0.4804 0.4804 0.3317
N 0.5196 0.8513 0.0000
N 0.8513 0.5196 0.0000
```

- Total moment: 0.00 μB per atom
- Formation energy (no corrections): -0.6132 eV/atom
- E_tot: -8.87 eV/atom
- Space group: No. 121